An optimized crystal structure of KTaIn2Au. Source: Alexandria via LeMat-Bulk, functional PBE.

The value obtained for the formation energy is 1.87 eV/atom. The calculation puts the total magnetization at 0.00 μB/cell. As for the electronic total energy: -2.47 eV per atom. The density is 7.09 g/cm3.

Structure (CIF):
```
data_KTaIn2Au
_chemical_formula_sum 'K1 Ta1 In2 Au1'
_symmetry_space_group_name_H-M 'P 4/m m m'
_symmetry_Int_Tables_number 123
_symmetry_space_group_name_Hall '-P 4 2'
_cell_length_a 5.432
_cell_length_b 5.432
_cell_length_c 5.134
_cell_angle_alpha 90.00
_cell_angle_beta 90.00
_cell_angle_gamma 90.00
loop_
_atom_site_label
_atom_site_type_symbol
_atom_site_fract_x
_atom_site_fract_y
_atom_site_fract_z
K1 K 0.000 0.000 0.000
Ta1 Ta 0.500 0.500 0.500
In1 In 0.000 0.500 0.000
Au1 Au 0.000 0.000 0.500
```